Material: LaNdMg2Sn2
Method: DFT, PBE
State: optimized geometry

Lattice parameters (Å, degrees): 4.5389 4.5389 16.3521 90.00 90.00 90.00
With the nearest neighbours (Å) after each atom.
Positions (direct):
1 La 0.0000 0.0000 0.0000  5 Sn 3.26-3.30, 4 Mg 3.54
2 La 0.5000 0.5000 0.5000  5 Sn 3.26-3.30, 4 Mg 3.54
3 Nd 0.0000 0.0000 0.3299  5 Sn 3.25-3.34, 4 Mg 3.51
4 Nd 0.5000 0.5000 0.8299  5 Sn 3.25-3.34, 4 Mg 3.51
5 Mg 0.0000 0.5000 0.1662  4 Sn 3.13, 4 Mg 3.21
6 Mg 0.0000 0.5000 0.6662  4 Sn 3.13, 4 Mg 3.21
7 Mg 0.5000 0.0000 0.1662  4 Sn 3.13, 4 Mg 3.21
8 Mg 0.5000 0.0000 0.6662  4 Sn 3.13, 4 Mg 3.21
9 Sn 0.0000 0.0000 0.5342  4 Mg 3.13, 4 La 3.26, 1 Nd 3.34
10 Sn 0.0000 0.0000 0.7983  4 Mg 3.13, 4 Nd 3.25, 1 La 3.30
11 Sn 0.5000 0.5000 0.0342  4 Mg 3.13, 4 La 3.26, 1 Nd 3.34
12 Sn 0.5000 0.5000 0.2983  4 Mg 3.13, 4 Nd 3.25, 1 La 3.30

Properties
Total DFT energy (no corrections) in eV/cell: -49.0
Magnetic moment in μB/f.u.: 0.01